HfFe2CoO6 PBE+U relaxed; Fermi-level density of states = 0.00 states/eV per cell; volume = 108 Å³/cell; electronic total energy = -7.3987 eV per atom; symmetry = R3
1.0
5.165 0.000 0.000
2.583 4.473 0.000
2.582 1.491 4.666
O Hf Fe Co
6 1 2 1
direct
0.391 0.733 0.750
0.127 0.391 0.750
0.628 0.232 0.238
0.232 0.903 0.238
0.733 0.127 0.750
0.903 0.628 0.238
0.312 0.312 0.063
0.013 0.013 0.960
0.518 0.518 0.444
0.805 0.805 0.585